## ScIr2F2 (PBE)

Data for an optimized crystal structure of ScIr2F2.

Calculated values
The raw formation energy is -0.678 eV per atom. The energy above the lowest structure with this stoichiometry comes out at 0 meV/atom. For the energy, the calculation gives -6.24 eV per atom.

abc: 3.616 3.616 6.191
angles: 73.02 73.02 90.00
Fractional coordinates of all 5 atoms:
F 0.250 0.750 0.500
F 0.750 0.250 0.500
Ir 0.604 0.604 0.792
Ir 0.396 0.396 0.208
Sc 0.000 0.000 0.000

***

## SbH6Cl12 (PBE)

Data for an optimized crystal structure of SbH6Cl12.

Calculated values
For the energy, the calculation gives -2.92 eV per atom.

abc: 9.721 9.237 10.410
angles: 124.51 119.43 99.57
Fractional coordinates of all 19 atoms:
Cl 0.180 0.310 0.801
Cl 0.820 0.690 0.199
Cl 0.065 0.733 0.938
Cl 0.452 0.972 0.598
Cl 0.160 0.184 0.365
Cl 0.548 0.028 0.402
Cl 0.840 0.816 0.635
Cl 0.318 0.241 0.158
Cl 0.935 0.267 0.062
Cl 0.739 0.182 0.294
Cl 0.682 0.759 0.842
Cl 0.261 0.818 0.706
H 0.646 0.083 0.777
H 0.061 0.141 0.737
H 0.296 0.986 0.871
H 0.354 0.917 0.223
H 0.939 0.859 0.263
H 0.704 0.014 0.129
Sb 0.000 0.000 0.000